The following is a DFT calculation (PBE-GGA) of a geometry-optimized CuSi2Cl structure.

Results
The formation energy from raw total energies comes out at 0.198 eV per atom. The calculation puts the energy above the lowest structure with this stoichiometry at 227.7 meV/atom. Its total energy is -31.991 eV for the cell shown.

Cell: 4.630 6.382 4.784 Å, 90.00 90.00 90.00°
Space group Cmmm (No. 65)
One atom of each set of equivalent atoms:
Cu1 0.000 0.000 0.000 x2
Si1 0.000 0.180 0.500 x4
Cl1 0.000 0.500 0.000 x2

---

The following is a DFT calculation (PBE-GGA) of a geometry-optimized Cu2SiCl structure.

Results
The formation energy from raw total energies comes out at 0.366 eV per atom. The calculation puts the energy above the lowest structure with this stoichiometry at 363.0 meV/atom. Its total energy is -27.999 eV for the cell shown.

Cell: 5.372 7.533 3.089 Å, 90.00 104.22 90.00°
Space group C2/m (No. 12)
One atom of each set of equivalent atoms:
Cu1 0.250 0.250 0.000 x4
Si1 0.000 0.000 0.500 x2
Cl1 0.000 0.500 0.500 x2

---

The following is a DFT calculation (PBE-GGA) of a geometry-optimized CuSi2Cl structure.

Results
The formation energy from raw total energies comes out at 0.204 eV per atom. The calculation puts the energy above the lowest structure with this stoichiometry at 233.6 meV/atom. Its total energy is -31.944 eV for the cell shown.

Cell: 4.590 4.820 6.777 Å, 90.00 90.00 90.00°
Space group Cmm2 (No. 35)
One atom of each set of equivalent atoms:
Cu1 0.000 0.000 0.000 x2
Si1 0.000 0.000 0.350 x2
Si2 0.000 0.500 0.228 x2
Cl1 0.000 0.500 0.819 x2

---

Q: energy above the lowest structure with this stoichiometry of number 3 (CuSi2Cl)?
A: 233.6 meV/atom

---

Please write out number 2 again, unchanged.
The following is a DFT calculation (PBE-GGA) of a geometry-optimized Cu2SiCl structure.

Results
The formation energy from raw total energies comes out at 0.366 eV per atom. The calculation puts the energy above the lowest structure with this stoichiometry at 363.0 meV/atom. Its total energy is -27.999 eV for the cell shown.

Cell: 5.372 7.533 3.089 Å, 90.00 104.22 90.00°
Space group C2/m (No. 12)
One atom of each set of equivalent atoms:
Cu1 0.250 0.250 0.000 x4
Si1 0.000 0.000 0.500 x2
Cl1 0.000 0.500 0.500 x2

---

Q: Which of these has the highest formation energy from raw total energies?
A: Cu2SiCl